DFT (meta-GGA SCAN) results for a crystal of CaNiSb2I relaxed with PBEsol.

Values from the calculation:
Size of the total moment (Bohr magnetons per cell): 0.00
Crystal system: tetragonal
Energy relative to the elements, uncorrected (meV/atom): -151
D(E_F) (states/eV per atom): 0.9502
VASP energy (eV per atom): -27.571

a b c (Å): 4.9049 4.9049 5.5931
angles (deg): 90.00 90.00 90.00
Positions (direct):
Sb: 0.5000 0.0000 0.0000
Sb: 0.0000 0.5000 0.0000
I: 0.0000 0.0000 0.5000
Ni: 0.0000 0.0000 0.0000
Ca: 0.5000 0.5000 0.5000